HoB4O7 GGA-PBE optimized geometry; E_form (uncorrected) = -2.39 eV/atom; space group = Pmn2_1, No. 31
1.0
11.185 0.000 0.000
0.000 4.588 0.000
0.000 0.000 4.205
Ho B O
2 8 14
Cartesian
0.000 0.764 0.000
5.593 3.824 2.103
1.369 3.059 1.421
2.700 3.778 3.373
2.893 0.810 1.270
4.224 1.529 3.523
6.961 1.529 3.523
8.292 0.810 1.270
8.486 3.778 3.373
9.817 3.059 1.421
0.000 3.187 0.852
1.451 3.455 2.775
1.817 1.740 1.028
2.340 4.090 0.617
3.252 0.498 2.720
3.776 2.848 3.131
4.142 1.133 0.672
5.593 1.401 2.954
7.043 1.133 0.672
7.410 2.848 3.131
7.933 0.498 2.720
8.845 4.090 0.617
9.369 1.740 1.028
9.735 3.455 2.775